# 1
Here is an optimized crystal structure of K2NaInP2 from Alexandria via LeMat-Bulk. Energies are from PBEsol.

Cell lengths 8.7503, 8.7503, 8.7503 Å; angles 135.93, 64.13, 135.88 degrees
Fractional coordinates of all 12 atoms:
1 K 0.1768 0.2393 0.4161
2 K 0.3232 0.7393 0.0625
3 K 0.6768 0.2607 0.9375
4 K 0.8232 0.7607 0.5839
5 Na 0.2500 0.2500 0.0000
6 Na 0.7500 0.7500 0.0000
7 In 0.2500 0.7500 0.5000
8 In 0.7500 0.2500 0.5000
9 P 0.1002 0.7155 0.8157
10 P 0.3998 0.2155 0.6152
11 P 0.6002 0.7845 0.3848
12 P 0.8998 0.2845 0.1843

Calculated values
The value obtained for the formation energy is -0.419 eV/atom. Its crystal system is orthorhombic. The magnetization is 0.00 μB/cell.



# 2
Here is an optimized crystal structure of KNbIn3 from Alexandria via LeMat-Bulk. Energies are from PBEsol.

Cell lengths 5.4108, 5.4108, 5.4108 Å; angles 90.00, 90.00, 90.00 degrees
Fractional coordinates of all 5 atoms:
1 K 0.0000 0.0000 0.0000
2 Nb 0.5000 0.5000 0.5000
3 In 0.0000 0.5000 0.5000
4 In 0.5000 0.0000 0.5000
5 In 0.5000 0.5000 0.0000

Calculated values
The value obtained for the formation energy is 0.270 eV/atom. Its crystal system is cubic. The magnetization is 0.00 μB/cell.



# 3
Here is an optimized crystal structure of KIn3Ni from Alexandria via LeMat-Bulk. Energies are from PBEsol.

Cell lengths 5.0021, 5.0021, 5.0021 Å; angles 90.00, 90.00, 90.00 degrees
Fractional coordinates of all 5 atoms:
1 K 0.0000 0.0000 0.0000
2 In 0.0000 0.5000 0.5000
3 In 0.5000 0.0000 0.5000
4 In 0.5000 0.5000 0.0000
5 Ni 0.5000 0.5000 0.5000

Calculated values
The value obtained for the formation energy is -0.094 eV/atom. Its crystal system is cubic. The magnetization is 0.00 μB/cell.



# 4
Here is an optimized crystal structure of KInNi from Alexandria via LeMat-Bulk. Energies are from PBEsol.

Cell lengths 6.5844, 6.5844, 6.5844 Å; angles 152.45, 145.02, 45.09 degrees
Fractional coordinates of all 3 atoms:
1 K 0.0000 0.0000 0.0000
2 In 0.2684 0.2684 0.0000
3 Ni 0.7416 0.7416 0.0000

Calculated values
The value obtained for the formation energy is 0.156 eV/atom. Its crystal system is orthorhombic. The magnetization is 0.00 μB/cell.



# 5
Here is an optimized crystal structure of KInO2 from Alexandria via LeMat-Bulk. Energies are from PBEsol.

Cell lengths 5.8017, 5.8017, 5.8017 Å; angles 117.75, 117.75, 93.94 degrees
Fractional coordinates of all 8 atoms:
1 K 0.0000 0.0000 0.0000
2 K 0.7500 0.2500 0.5000
3 In 0.2500 0.7500 0.5000
4 In 0.5000 0.5000 0.0000
5 O 0.2053 0.1250 0.5803
6 O 0.3750 0.7947 0.9197
7 O 0.5447 0.6250 0.4197
8 O 0.8750 0.4553 0.0803

Calculated values
The formation energy from raw total energies comes out at -1519 meV per atom. Its crystal system is tetragonal. The magnetization is 0.00 μB/cell.



# 6
Here is an optimized crystal structure of K3InP2O8 from Alexandria via LeMat-Bulk. Energies are from PBEsol.

Cell lengths 9.6685, 9.6685, 9.7477 Å; angles 91.29, 91.29, 71.34 degrees
Fractional coordinates of all 56 atoms:
1 K 0.1036 0.8964 0.7500
2 K 0.1111 0.3709 0.1902
3 K 0.3101 0.5133 0.8989
4 K 0.3678 0.6322 0.2500
5 K 0.3709 0.1111 0.6902
6 K 0.4867 0.6899 0.6011
7 K 0.5133 0.3101 0.3989
8 K 0.6291 0.8889 0.3098
9 K 0.6322 0.3678 0.7500
10 K 0.6899 0.4867 0.1011
11 K 0.8889 0.6291 0.8098
12 K 0.8964 0.1036 0.2500
13 In 0.0145 0.7320 0.4202
14 In 0.2680 0.9855 0.0798
15 In 0.7320 0.0145 0.9202
16 In 0.9855 0.2680 0.5798
17 P 0.0431 0.7658 0.0746
18 P 0.2047 0.4925 0.5658
19 P 0.2342 0.9569 0.4254
20 P 0.4925 0.2047 0.0658
21 P 0.5075 0.7953 0.9342
22 P 0.7658 0.0431 0.5746
23 P 0.7953 0.5075 0.4342
24 P 0.9569 0.2342 0.9254
25 O 0.0266 0.1893 0.7827
26 O 0.0644 0.1419 0.0348
27 O 0.0788 0.6033 0.0431
28 O 0.0932 0.6369 0.6255
29 O 0.1419 0.0644 0.5348
30 O 0.1598 0.3587 0.6065
31 O 0.1893 0.0266 0.2827
32 O 0.1897 0.8006 0.0638
33 O 0.1936 0.5138 0.4059
34 O 0.1994 0.8103 0.4362
35 O 0.3587 0.1598 0.1065
36 O 0.3611 0.4698 0.6199
37 O 0.3631 0.9068 0.8745
38 O 0.3967 0.9212 0.4569
39 O 0.4698 0.3611 0.1199
40 O 0.4862 0.8064 0.0941
41 O 0.5138 0.1936 0.9059
42 O 0.5302 0.6389 0.8801
43 O 0.6033 0.0788 0.5431
44 O 0.6369 0.0932 0.1255
45 O 0.6389 0.5302 0.3801
46 O 0.6413 0.8402 0.8935
47 O 0.8006 0.1897 0.5638
48 O 0.8064 0.4862 0.5941
49 O 0.8103 0.1994 0.9362
50 O 0.8107 0.9734 0.7173
51 O 0.8402 0.6413 0.3935
52 O 0.8581 0.9356 0.4652
53 O 0.9068 0.3631 0.3745
54 O 0.9212 0.3967 0.9569
55 O 0.9356 0.8581 0.9652
56 O 0.9734 0.8107 0.2173

Calculated values
The formation energy from raw total energies comes out at -2197 meV per atom. Its crystal system is monoclinic. The magnetization is 0.01 μB/cell.



# 7
Here is an optimized crystal structure of KInOs from Alexandria via LeMat-Bulk. Energies are from PBEsol.

Cell lengths 6.5254, 6.5254, 6.5254 Å; angles 148.28, 148.28, 45.47 degrees
Fractional coordinates of all 3 atoms:
1 K 0.0000 0.0000 0.0000
2 In 0.2714 0.2714 0.0000
3 Os 0.7129 0.7129 0.0000

Calculated values
The value obtained for the formation energy is 0.853 eV/atom. Its crystal system is tetragonal. The magnetization is 0.00 μB/cell.



# 8
Here is an optimized crystal structure of KInP2 from Alexandria via LeMat-Bulk. Energies are from PBEsol.

Cell lengths 9.8179, 9.8179, 9.8179 Å; angles 150.84, 150.84, 41.71 degrees
Fractional coordinates of all 8 atoms:
1 K 0.0000 0.0000 0.0000
2 K 0.7500 0.2500 0.5000
3 In 0.2500 0.7500 0.5000
4 In 0.5000 0.5000 0.0000
5 P 0.3657 0.6250 0.2407
6 P 0.3750 0.6157 0.7407
7 P 0.3843 0.1250 0.7593
8 P 0.8750 0.6343 0.2593

Calculated values
The value obtained for the formation energy is 0.100 eV/atom. Its crystal system is tetragonal. The magnetization is 0.00 μB/cell.



# 9
Here is an optimized crystal structure of K2In2P3Se10 from Alexandria via LeMat-Bulk. Energies are from PBEsol.

Cell lengths 19.6387, 7.6706, 13.2387 Å; angles 90.00, 106.75, 90.00 degrees
Fractional coordinates of all 68 atoms:
1 K 0.0734 0.1484 0.4055
2 K 0.0734 0.3516 0.9055
3 K 0.4125 0.5608 0.8227
4 K 0.4125 0.9392 0.3227
5 K 0.5875 0.0608 0.6773
6 K 0.5875 0.4392 0.1773
7 K 0.9266 0.6484 0.0945
8 K 0.9266 0.8516 0.5945
9 In 0.1873 0.6388 0.6028
10 In 0.1873 0.8612 0.1028
11 In 0.3248 0.0331 0.9707
12 In 0.3248 0.4669 0.4707
13 In 0.6752 0.5331 0.5293
14 In 0.6752 0.9669 0.0293
15 In 0.8127 0.1388 0.8972
16 In 0.8127 0.3612 0.3972
17 P 0.1511 0.6784 0.3172
18 P 0.1511 0.8216 0.8172
19 P 0.1636 0.0642 0.7259
20 P 0.1636 0.4358 0.2259
21 P 0.4798 0.1159 0.9468
22 P 0.4798 0.3841 0.4468
23 P 0.5202 0.6159 0.5532
24 P 0.5202 0.8841 0.0532
25 P 0.8364 0.5642 0.7741
26 P 0.8364 0.9358 0.2741
27 P 0.8489 0.1784 0.1828
28 P 0.8489 0.3216 0.6828
29 Se 0.0576 0.1646 0.6531
30 Se 0.0576 0.3354 0.1531
31 Se 0.0855 0.6011 0.4208
32 Se 0.0855 0.8989 0.9208
33 Se 0.0900 0.6224 0.7070
34 Se 0.0900 0.8776 0.2070
35 Se 0.2234 0.2461 0.8463
36 Se 0.2234 0.2539 0.3463
37 Se 0.2231 0.5308 0.1144
38 Se 0.2231 0.9692 0.6144
39 Se 0.2571 0.7209 0.9015
40 Se 0.2571 0.7791 0.4015
41 Se 0.2803 0.0955 0.1362
42 Se 0.2803 0.4045 0.6362
43 Se 0.3942 0.0184 0.8123
44 Se 0.3942 0.4816 0.3123
45 Se 0.4259 0.7243 0.5856
46 Se 0.4259 0.7757 0.0856
47 Se 0.4302 0.2090 0.5374
48 Se 0.4302 0.2910 0.0374
49 Se 0.5698 0.7090 0.9626
50 Se 0.5698 0.7910 0.4626
51 Se 0.5741 0.2243 0.9144
52 Se 0.5741 0.2757 0.4144
53 Se 0.6058 0.5184 0.6877
54 Se 0.6058 0.9816 0.1877
55 Se 0.7197 0.5955 0.3638
56 Se 0.7197 0.9045 0.8638
57 Se 0.7429 0.2209 0.5985
58 Se 0.7429 0.2791 0.0985
59 Se 0.7769 0.0308 0.3856
60 Se 0.7769 0.4692 0.8856
61 Se 0.7766 0.7461 0.6537
62 Se 0.7766 0.7539 0.1537
63 Se 0.9100 0.1224 0.7930
64 Se 0.9100 0.3776 0.2930
65 Se 0.9145 0.1011 0.0792
66 Se 0.9145 0.3989 0.5792
67 Se 0.9424 0.6646 0.8469
68 Se 0.9424 0.8354 0.3469

Calculated values
The formation energy from raw total energies comes out at -468 meV per atom. Its crystal system is monoclinic. The magnetization is 0.00 μB/cell.



# 10
Here is an optimized crystal structure of KTaIn2P from Alexandria via LeMat-Bulk. Energies are from PBEsol.

Cell lengths 5.3465, 5.3465, 5.7925 Å; angles 90.00, 90.00, 90.00 degrees
Fractional coordinates of all 5 atoms:
1 K 0.0000 0.0000 0.0000
2 Ta 0.0000 0.0000 0.5000
3 In 0.0000 0.5000 0.5000
4 In 0.5000 0.0000 0.5000
5 P 0.5000 0.5000 0.0000

Calculated values
The value obtained for the formation energy is 1.478 eV/atom. Its crystal system is tetragonal. The magnetization is 2.59 μB/cell.



# 11
Here is an optimized crystal structure of K2YInP from Alexandria via LeMat-Bulk. Energies are from PBEsol.

Cell lengths 6.8138, 6.8138, 5.5739 Å; angles 90.00, 90.00, 90.00 degrees
Fractional coordinates of all 5 atoms:
1 K 0.0000 0.5000 0.0000
2 K 0.5000 0.0000 0.0000
3 Y 0.0000 0.0000 0.0000
4 In 0.0000 0.0000 0.5000
5 P 0.5000 0.5000 0.5000

Calculated values
The value obtained for the formation energy is 1.204 eV/atom. Its crystal system is tetragonal. The magnetization is 1.27 μB/cell.



# 12
Here is an optimized crystal structure of K2InPb from Alexandria via LeMat-Bulk. Energies are from PBEsol.

Cell lengths 3.7852, 5.1862, 7.2655 Å; angles 90.00, 103.41, 90.00 degrees
Fractional coordinates of all 4 atoms:
1 K 0.0000 0.0000 0.0000
2 K 0.2957 0.5000 0.6611
3 In 0.6957 0.0000 0.4485
4 Pb 0.6013 0.5000 0.2150

Calculated values
The value obtained for the formation energy is -0.080 eV/atom. Its crystal system is monoclinic. As for the energy relative to the lowest polymorph listed for this composition: 14.9 meV per atom. The magnetization is 0.00 μB/cell.